# SrCrHg2 (PBE, optimized geometry)
# **E**: -23.3 eV per cell
# **ΔE_f**: 0.064 eV per atom
# **Magnetization**: 9.11 Bohr magnetons per cell
data_SrCrHg2
_cell_length_a 8.4089
_cell_length_b 4.8324
_cell_length_c 6.1769
_cell_angle_alpha 90.00
_cell_angle_beta 116.76
_cell_angle_gamma 90.00
_symmetry_space_group_name_H-M 'C 1 m 1'
_symmetry_Int_Tables_number 8
loop_
_symmetry_equiv_pos_as_xyz
'x,y,z'
'x,-y,z'
'x+1/2,y+1/2,z'
'x+1/2,-y+1/2,z'
loop_
_atom_site_label
_atom_site_type_symbol
_atom_site_fract_x
_atom_site_fract_y
_atom_site_fract_z
_atom_site_occupancy
Sr1 Sr 0.0000 0.0000 0.0000 1
Cr1 Cr 0.1998 0.0000 0.5951 1
Hg1 Hg 0.0451 0.5000 0.6330 1
Hg2 Hg 0.2951 0.5000 0.3825 1


# SrCr3Hg (PBE, optimized geometry)
# **E**: -20.5 eV per cell
# **ΔE to the lowest computed polymorph**: 1007 meV per atom
# **ΔE_f**: 2.079 eV per atom
# **Magnetization**: 16.10 Bohr magnetons per cell
data_SrCr3Hg
_cell_length_a 6.0131
_cell_length_b 6.0131
_cell_length_c 6.0131
_cell_angle_alpha 90.00
_cell_angle_beta 90.00
_cell_angle_gamma 90.00
_symmetry_space_group_name_H-M 'P m -3 m'
_symmetry_Int_Tables_number 221
_symmetry_space_group_name_Hall '-P 4 2 3'
loop_
_atom_site_label
_atom_site_type_symbol
_atom_site_fract_x
_atom_site_fract_y
_atom_site_fract_z
_atom_site_occupancy
Sr1 Sr 0.0000 0.0000 0.0000 1
Cr1 Cr 0.0000 0.0000 0.5000 1
Hg1 Hg 0.5000 0.5000 0.5000 1


# SrCrHg2 (PBE, optimized geometry)
# **E**: -45.1 eV per cell
# **ΔE_f**: 0.158 eV per atom
# **Magnetization**: 17.58 Bohr magnetons per cell
data_SrCrHg2
_cell_length_a 7.3755
_cell_length_b 7.3755
_cell_length_c 7.3755
_cell_angle_alpha 90.00
_cell_angle_beta 90.00
_cell_angle_gamma 90.00
_symmetry_space_group_name_H-M 'F -4 3 m'
_symmetry_Int_Tables_number 216
_symmetry_space_group_name_Hall 'F -4 2 3'
loop_
_atom_site_label
_atom_site_type_symbol
_atom_site_fract_x
_atom_site_fract_y
_atom_site_fract_z
_atom_site_occupancy
Sr1 Sr 0.0000 0.0000 0.0000 1
Cr1 Cr 0.2500 0.2500 0.2500 1
Hg1 Hg 0.0000 0.0000 0.5000 1
Hg2 Hg 0.2500 0.2500 0.7500 1


# SrCrHg2 (PBE, optimized geometry)
# **E**: -44.0 eV per cell
# **ΔE_f**: 0.225 eV per atom
# **Magnetization**: 18.03 Bohr magnetons per cell
data_SrCrHg2
_cell_length_a 5.1626
_cell_length_b 5.1626
_cell_length_c 19.1510
_cell_angle_alpha 90.00
_cell_angle_beta 90.00
_cell_angle_gamma 90.00
_symmetry_space_group_name_H-M 'I -4 2 d'
_symmetry_Int_Tables_number 122
_symmetry_space_group_name_Hall 'I -4 2bw'
loop_
_atom_site_label
_atom_site_type_symbol
_atom_site_fract_x
_atom_site_fract_y
_atom_site_fract_z
_atom_site_occupancy
Sr1 Sr 0.0000 0.0000 0.0000 1
Cr1 Cr 0.0000 0.0000 0.5000 1
Hg1 Hg 0.1342 0.2500 0.6250 1


# SrCrHg2 (PBE, optimized geometry)
# **E**: -22.8 eV per cell
# **ΔE_f**: 0.130 eV per atom
# **Magnetization**: 8.68 Bohr magnetons per cell
data_SrCrHg2
_cell_length_a 7.0312
_cell_length_b 7.0717
_cell_length_c 4.2093
_cell_angle_alpha 90.00
_cell_angle_beta 90.24
_cell_angle_gamma 90.00
_symmetry_space_group_name_H-M 'C 1 2/m 1'
_symmetry_Int_Tables_number 12
loop_
_symmetry_equiv_pos_as_xyz
'x,y,z'
'-x,-y,-z'
'-x,y,-z'
'x,-y,z'
'x+1/2,y+1/2,z'
'-x+1/2,-y+1/2,-z'
'-x+1/2,y+1/2,-z'
'x+1/2,-y+1/2,z'
loop_
_atom_site_label
_atom_site_type_symbol
_atom_site_fract_x
_atom_site_fract_y
_atom_site_fract_z
_atom_site_occupancy
Sr1 Sr 0.0000 0.0000 0.0000 1
Cr1 Cr 0.0000 0.5000 0.0000 1
Hg1 Hg 0.2500 0.2500 0.5000 1


# SrCr3Hg (PBE, optimized geometry)
# **E**: -25.5 eV per cell
# **ΔE to the lowest computed polymorph**: 0 meV per atom
# **ΔE_f**: 1.072 eV per atom
# **Magnetization**: 13.63 Bohr magnetons per cell
data_SrCr3Hg
_cell_length_a 5.2562
_cell_length_b 5.2562
_cell_length_c 5.2562
_cell_angle_alpha 90.00
_cell_angle_beta 90.00
_cell_angle_gamma 90.00
_symmetry_space_group_name_H-M 'P m -3 m'
_symmetry_Int_Tables_number 221
_symmetry_space_group_name_Hall '-P 4 2 3'
loop_
_atom_site_label
_atom_site_type_symbol
_atom_site_fract_x
_atom_site_fract_y
_atom_site_fract_z
_atom_site_occupancy
Sr1 Sr 0.0000 0.0000 0.0000 1
Cr1 Cr 0.0000 0.5000 0.5000 1
Hg1 Hg 0.5000 0.5000 0.5000 1


# SrCrHg (PBE, optimized geometry)
# **E**: -38.2 eV per cell
# **ΔE to the lowest computed polymorph**: 494 meV per atom
# **ΔE_f**: 0.686 eV per atom
# **Magnetization**: 20.23 Bohr magnetons per cell
data_SrCrHg
_cell_length_a 7.5219
_cell_length_b 7.5219
_cell_length_c 7.5219
_cell_angle_alpha 90.00
_cell_angle_beta 90.00
_cell_angle_gamma 90.00
_symmetry_space_group_name_H-M 'F -4 3 m'
_symmetry_Int_Tables_number 216
_symmetry_space_group_name_Hall 'F -4 2 3'
loop_
_atom_site_label
_atom_site_type_symbol
_atom_site_fract_x
_atom_site_fract_y
_atom_site_fract_z
_atom_site_occupancy
Sr1 Sr 0.0000 0.0000 0.0000 1
Cr1 Cr 0.2500 0.2500 0.2500 1
Hg1 Hg 0.2500 0.2500 0.7500 1


# SrCrHg2 (PBE, optimized geometry)
# **E**: -22.8 eV per cell
# **ΔE_f**: 0.128 eV per atom
# **Magnetization**: 9.17 Bohr magnetons per cell
data_SrCrHg2
_cell_length_a 4.2676
_cell_length_b 5.1344
_cell_length_c 9.5944
_cell_angle_alpha 90.00
_cell_angle_beta 90.00
_cell_angle_gamma 90.00
_symmetry_space_group_name_H-M 'I m m 2'
_symmetry_Int_Tables_number 44
loop_
_symmetry_equiv_pos_as_xyz
'x,y,z'
'-x,-y,z'
'-x,y,z'
'x,-y,z'
'x+1/2,y+1/2,z+1/2'
'-x+1/2,-y+1/2,z+1/2'
'-x+1/2,y+1/2,z+1/2'
'x+1/2,-y+1/2,z+1/2'
loop_
_atom_site_label
_atom_site_type_symbol
_atom_site_fract_x
_atom_site_fract_y
_atom_site_fract_z
_atom_site_occupancy
Sr1 Sr 0.0000 0.0000 0.0000 1
Cr1 Cr 0.0000 0.5000 0.7729 1
Hg1 Hg 0.0000 0.0000 0.4830 1
Hg2 Hg 0.0000 0.5000 0.2309 1


# SrCrHg2 (PBE, optimized geometry)
# **E**: -11.4 eV per cell
# **ΔE_f**: 0.117 eV per atom
# **Magnetization**: 4.39 Bohr magnetons per cell
data_SrCrHg2
_cell_length_a 3.8640
_cell_length_b 3.8640
_cell_length_c 7.1113
_cell_angle_alpha 90.00
_cell_angle_beta 90.00
_cell_angle_gamma 90.00
_symmetry_space_group_name_H-M 'P 4 m m'
_symmetry_Int_Tables_number 99
loop_
_symmetry_equiv_pos_as_xyz
'x,y,z'
'-y,x,z'
'-x,-y,z'
'y,-x,z'
'-x,y,z'
'y,x,z'
'x,-y,z'
'-y,-x,z'
loop_
_atom_site_label
_atom_site_type_symbol
_atom_site_fract_x
_atom_site_fract_y
_atom_site_fract_z
_atom_site_occupancy
Sr1 Sr 0.0000 0.0000 0.0000 1
Cr1 Cr 0.5000 0.5000 0.3303 1
Hg1 Hg 0.0000 0.0000 0.4660 1
Hg2 Hg 0.5000 0.5000 0.7324 1


# Sr4CrHg (PBE, optimized geometry)
# **E**: -50.0 eV per cell
# **ΔE_f**: 0.693 eV per atom
# **Magnetization**: 18.95 Bohr magnetons per cell
data_Sr4CrHg
_cell_length_a 10.2297
_cell_length_b 10.2297
_cell_length_c 10.2297
_cell_angle_alpha 90.00
_cell_angle_beta 90.00
_cell_angle_gamma 90.00
_symmetry_space_group_name_H-M 'F -4 3 m'
_symmetry_Int_Tables_number 216
_symmetry_space_group_name_Hall 'F -4 2 3'
loop_
_atom_site_label
_atom_site_type_symbol
_atom_site_fract_x
_atom_site_fract_y
_atom_site_fract_z
_atom_site_occupancy
Sr1 Sr 0.1247 0.1247 0.1247 1
Cr1 Cr 0.2500 0.2500 0.7500 1
Hg1 Hg 0.0000 0.0000 0.5000 1